The following is a DFT calculation (SCAN) of a crystal of ReRu relaxed with PBEsol.

Its formation enthalpy at 0 K is -45 meV/atom. The calculation puts the theoretical density at 17.1 g cm⁻³. For the density of states at the Fermi level, the calculation gives 1.73 states/eV/f.u. Its total magnetic moment is 0.0 μB per formula unit.

The structure belongs to space group P-3m1 (No. 164); the cell edges are 2.7262, 2.7262 and 8.6608 Å and the angles 90.00°, 90.00° and 120.00°. Symmetry generates all atoms from Re at (0.3333, 0.6667, 0.1308) and Ru at (0.3333, 0.6667, 0.6237).